No. 1
Below is Dy7YTh2 after structural relaxation, with properties calculated at the GGA-PBE level.

Unit cell a=6.1472 b=6.1781 c=9.3843 alpha=102.68 beta=108.90 gamma=99.78
With the nearest neighbours (Å) after each atom.
Fractional positions:
Dy (0.0000, 0.0000, 0.0000)  4 Th 3.53-3.55, 8 Dy 3.53-3.57
Dy (0.2011, 0.5959, 0.1962)  8 Dy 3.50-3.60, 3 Th 3.51-3.57, 1 Y 3.58
Dy (0.2073, 0.1047, 0.7045)  3 Th 3.48-3.56, 7 Dy 3.50-3.64, 2 Y 3.58-3.59
Dy (0.4023, 0.1998, 0.3973)  1 Th 3.52, 9 Dy 3.53-3.60, 2 Y 3.53-3.58
Dy (0.5977, 0.8002, 0.6027)  1 Th 3.52, 9 Dy 3.53-3.60, 2 Y 3.53-3.58
Dy (0.7927, 0.8953, 0.2955)  3 Th 3.48-3.56, 7 Dy 3.50-3.64, 2 Y 3.58-3.59
Dy (0.7989, 0.4041, 0.8038)  8 Dy 3.50-3.60, 3 Th 3.51-3.57, 1 Y 3.58
Y (0.0000, 0.5000, 0.5000)  10 Dy 3.53-3.59, 2 Th 3.57
Th (0.4032, 0.7028, 0.9024)  9 Dy 3.48-3.57, 2 Th 3.52-3.56, 1 Y 3.57
Th (0.5968, 0.2972, 0.0976)  9 Dy 3.48-3.57, 2 Th 3.52-3.56, 1 Y 3.57

Output
Energy above the most stable polymorph in this dataset   0 meV/atom
DOS at the Fermi energy   15.326 states/eV/f.u.
Energy of formation from the pure elements   30 meV per atom


No. 2
Below is Dy2Y3Th after structural relaxation, with properties calculated at the GGA-PBE level.

Unit cell a=6.1778 b=6.1778 c=14.2752 alpha=106.68 beta=106.68 gamma=48.25
With the nearest neighbours (Å) after each atom.
Fractional positions:
Dy (0.0015, 0.0015, 0.3724)  2 Dy 3.49-3.65, 7 Y 3.52-3.61, 3 Th 3.54-3.60
Dy (0.0036, 0.0036, 0.1282)  2 Dy 3.49-3.64, 2 Th 3.53, 8 Y 3.53-3.62
Dy (0.9964, 0.9964, 0.8718)  2 Dy 3.49-3.64, 2 Th 3.53, 8 Y 3.53-3.62
Dy (0.9985, 0.9985, 0.6276)  2 Dy 3.49-3.65, 7 Y 3.52-3.61, 3 Th 3.54-3.60
Y (0.3305, 0.3305, 0.4571)  5 Dy 3.52-3.61, 4 Y 3.55-3.63, 3 Th 3.56-3.58
Y (0.3335, 0.3335, 0.2095)  5 Dy 3.53-3.58, 4 Y 3.55-3.61, 3 Th 3.56
Y (0.3341, 0.3341, 0.9569)  1 Th 3.54, 5 Dy 3.55-3.62, 6 Y 3.55-3.61
Y (0.6659, 0.6659, 0.0431)  1 Th 3.54, 5 Dy 3.55-3.62, 6 Y 3.55-3.61
Y (0.6665, 0.6665, 0.7905)  5 Dy 3.53-3.58, 4 Y 3.55-3.61, 3 Th 3.56
Y (0.6695, 0.6695, 0.5429)  5 Dy 3.52-3.61, 4 Y 3.55-3.63, 3 Th 3.56-3.58
Th (0.3344, 0.3344, 0.7092)  5 Dy 3.53-3.60, 7 Y 3.54-3.58
Th (0.6656, 0.6656, 0.2908)  5 Dy 3.53-3.60, 7 Y 3.54-3.58

Output
Energy above the most stable polymorph in this dataset   0 meV/atom
DOS at the Fermi energy   9.354 states/eV/f.u.
Energy of formation from the pure elements   38 meV per atom


No. 3
Below is Dy3YTh3 after structural relaxation, with properties calculated at the GGA-PBE level.

Unit cell a=9.4649 b=9.4649 c=5.8450 alpha=90.00 beta=90.00 gamma=120.00
With the nearest neighbours (Å) after each atom.
Fractional positions:
Dy (0.0916, 0.6218, 0.2500)  5 Th 3.53-3.64, 3 Y 3.56-3.60, 4 Dy 3.59-3.65
Dy (0.3782, 0.4698, 0.2500)  5 Th 3.53-3.64, 3 Y 3.56-3.60, 4 Dy 3.59-3.65
Dy (0.4698, 0.0916, 0.7500)  5 Th 3.53-3.64, 3 Y 3.56-3.60, 4 Dy 3.59-3.65
Dy (0.5302, 0.9084, 0.2500)  5 Th 3.53-3.64, 3 Y 3.56-3.60, 4 Dy 3.59-3.65
Dy (0.6218, 0.5302, 0.7500)  5 Th 3.53-3.64, 3 Y 3.56-3.60, 4 Dy 3.59-3.65
Dy (0.9084, 0.3782, 0.7500)  5 Th 3.53-3.64, 3 Y 3.56-3.60, 4 Dy 3.59-3.65
Y (0.3333, 0.6667, 0.7500)  9 Dy 3.56-3.60, 3 Th 3.61
Y (0.6667, 0.3333, 0.2500)  9 Dy 3.56-3.60, 3 Th 3.61
Th (0.0463, 0.8127, 0.7500)  6 Th 3.51-3.56, 5 Dy 3.53-3.64, 1 Y 3.61
Th (0.1873, 0.2336, 0.7500)  6 Th 3.51-3.56, 5 Dy 3.53-3.64, 1 Y 3.61
Th (0.2336, 0.0463, 0.2500)  6 Th 3.51-3.56, 5 Dy 3.53-3.64, 1 Y 3.61
Th (0.7664, 0.9537, 0.7500)  6 Th 3.51-3.56, 5 Dy 3.53-3.64, 1 Y 3.61
Th (0.8127, 0.7664, 0.2500)  6 Th 3.51-3.56, 5 Dy 3.53-3.64, 1 Y 3.61
Th (0.9537, 0.1873, 0.2500)  6 Th 3.51-3.56, 5 Dy 3.53-3.64, 1 Y 3.61

Output
Energy above the most stable polymorph in this dataset   0 meV/atom
DOS at the Fermi energy   10.309 states/eV/f.u.
Energy of formation from the pure elements   40 meV per atom


No. 4
Below is DyY8Th2 after structural relaxation, with properties calculated at the GGA-PBE level.

Unit cell a=9.0254 b=9.0254 c=6.6510 alpha=98.49 beta=98.49 gamma=43.10
With the nearest neighbours (Å) after each atom.
Fractional positions:
Dy (0.0000, 0.0000, 0.0000)  4 Y 3.32
Y (0.1723, 0.6534, 0.5974)  4 Y 3.19-3.55, 2 Th 3.28-3.42, 1 Dy 3.32
Y (0.1998, 0.1998, 0.8200)  4 Th 3.42-3.63, 3 Y 3.55-3.71, 1 Dy 3.74
Y (0.3466, 0.8277, 0.4026)  4 Y 3.19-3.55, 2 Th 3.28-3.42, 1 Dy 3.32
Y (0.4094, 0.4094, 0.0986)  1 Th 3.36, 8 Y 3.50-3.71, 2 Dy 3.75
Y (0.5906, 0.5906, 0.9014)  1 Th 3.36, 8 Y 3.50-3.71, 2 Dy 3.75
Y (0.6534, 0.1723, 0.5974)  4 Y 3.19-3.55, 2 Th 3.28-3.42, 1 Dy 3.32
Y (0.8002, 0.8002, 0.1800)  4 Th 3.42-3.63, 3 Y 3.55-3.71, 1 Dy 3.74
Y (0.8277, 0.3466, 0.4026)  4 Y 3.19-3.55, 2 Th 3.28-3.42, 1 Dy 3.32
Th (0.2477, 0.2477, 0.3387)  9 Y 3.28-3.63
Th (0.7523, 0.7523, 0.6613)  9 Y 3.28-3.63

Output
Energy above the most stable polymorph in this dataset   0 meV/atom
DOS at the Fermi energy   16.807 states/eV/f.u.
Energy of formation from the pure elements   183 meV per atom